# La12PmPb4N3, optimized geometry, DFT PBE
# energy relative to the elements, uncorrected	-11.9	eV/f.u.
# total moment	0.00	μB per cell
data_La12PmPb4N3
_cell_length_a 10.4522
_cell_length_b 10.4522
_cell_length_c 10.4522
_cell_angle_alpha 90.00
_cell_angle_beta 90.00
_cell_angle_gamma 90.00
_space_group_name_H-M_alt 'I m -3 m'
_space_group_IT_number 229
_space_group_name_Hall '-I 4 2 3'
loop_
_atom_site_label
_atom_site_type_symbol
_atom_site_fract_x
_atom_site_fract_y
_atom_site_fract_z
La1 La 0.0000 0.0000 0.2736
La2 La 0.0000 0.2500 0.5000
Pm1 Pm 0.0000 0.0000 0.0000
Pb1 Pb 0.2500 0.2500 0.2500
N1 N 0.0000 0.0000 0.5000